The following is a DFT calculation (GGA-PBE) of a relaxed structure of HfAgH3.

a = 3.649 Å, b = 3.649 Å, c = 3.649 Å
α = 90.00°, β = 90.00°, γ = 90.00°
Element x y z (fractional)
Ag 0.000 0.000 0.000
H 0.000 0.000 0.500
H 0.500 0.000 0.000
H 0.000 0.500 0.000
Hf 0.500 0.500 0.500

Results
total moment: 0.000 μB/atom
volume: 9.72 Å³/atom
calculated density: 9.89 g/cm3
energy relative to the lowest polymorph listed for this composition: 1.884 eV/f.u.
space group: Pm-3m (221)
DFT total energy: -4.139 eV per atom
D(E_F): 2.71 states/eV/f.u.